The following is a PBE calculation of a geometry-optimized Li2AgSb2 structure, from Alexandria via LeMat-Bulk.

Structure (POSCAR):
```
Li2AgSb2
1.0
5.066 -1.552 0.000
5.066 1.552 0.000
-0.723 0.000 7.804
Li Ag Sb
2 1 2
Direct
0.115 0.115 0.124 Li
0.885 0.885 0.876 Li
0.000 0.000 0.500 Ag
0.387 0.387 0.217 Sb
0.613 0.613 0.783 Sb
```

Output
The value obtained for the calculated total energy is -3.219 eV/atom. The calculation puts the magnetic moment at 0.000 μB per formula unit. Its space-group type is C2/m (12). The calculation puts the distance to the lowest polymorph of the same formula at 0.054 eV/atom. As for the crystal system: monoclinic. For the formation energy (no corrections), the calculation gives -0.234 eV per atom.

The following is a PBE calculation of a geometry-optimized Sm4Ga2P structure, from Alexandria via LeMat-Bulk.

Structure (POSCAR):
```
Sm4Ga2P
1.0
6.010 -2.162 0.000
6.010 2.162 0.000
-4.713 0.000 7.251
Sm Ga P
4 2 1
Direct
0.084 0.084 0.371 Sm
0.322 0.322 0.912 Sm
0.678 0.678 0.088 Sm
0.916 0.916 0.629 Sm
0.378 0.378 0.343 Ga
0.622 0.622 0.657 Ga
0.000 0.000 0.000 P
```

Output
The value obtained for the calculated total energy is -5.086 eV/atom. The calculation puts the magnetic moment at 0.001 μB per formula unit. Its space-group type is C2/m (12). Its calculated formation energy is -5.26 eV/f.u. As for the crystal system: monoclinic.

The following is a PBE calculation of a geometry-optimized TaCoAu3 structure, from Alexandria via LeMat-Bulk.

Structure (POSCAR):
```
TaCoAu3
1.0
5.096 0.000 0.000
0.000 5.096 0.000
0.000 0.000 5.096
Ta Co Au
1 1 3
Direct
0.000 0.000 0.000 Ta
0.500 0.500 0.500 Co
0.000 0.000 0.500 Au
0.000 0.500 0.000 Au
0.500 0.000 0.000 Au
```

Output
The value obtained for the calculated total energy is -4.343 eV/atom. The calculation puts the magnetic moment at 2.059 μB per formula unit. Its space-group type is Pm-3m (221). The calculation puts the distance to the lowest polymorph of the same formula at 0.178 eV/atom. Its calculated formation energy is 7.08 eV/f.u. As for the crystal system: cubic.

The following is a PBE calculation of a geometry-optimized RuRh2W structure, from Alexandria via LeMat-Bulk.

Structure (POSCAR):
```
RuRh2W
1.0
2.706 -3.919 0.000
2.706 3.919 0.000
0.000 0.000 2.738
Ru Rh W
1 2 1
Direct
0.000 0.000 0.000 Ru
0.000 0.500 0.500 Rh
0.500 0.000 0.500 Rh
0.500 0.500 0.000 W
```

Output
The value obtained for the calculated total energy is -9.305 eV/atom. The calculation puts the magnetic moment at 0.000 μB per formula unit. Its space-group type is Cmmm (65). The calculation puts the distance to the lowest polymorph of the same formula at 0.112 eV/atom. Its calculated formation energy is -0.29 eV/f.u. As for the crystal system: orthorhombic.

magnetic moment of number 4 (RuRh2W)?
0.000 μB per formula unit

Number 2 is which compound?
Sm4Ga2P

Copy entry 2 word for word.
The following is a PBE calculation of a geometry-optimized Sm4Ga2P structure, from Alexandria via LeMat-Bulk.

Structure (POSCAR):
```
Sm4Ga2P
1.0
6.010 -2.162 0.000
6.010 2.162 0.000
-4.713 0.000 7.251
Sm Ga P
4 2 1
Direct
0.084 0.084 0.371 Sm
0.322 0.322 0.912 Sm
0.678 0.678 0.088 Sm
0.916 0.916 0.629 Sm
0.378 0.378 0.343 Ga
0.622 0.622 0.657 Ga
0.000 0.000 0.000 P
```

Output
The value obtained for the calculated total energy is -5.086 eV/atom. The calculation puts the magnetic moment at 0.001 μB per formula unit. Its space-group type is C2/m (12). Its calculated formation energy is -5.26 eV/f.u. As for the crystal system: monoclinic.

Number 4 is which compound?
RuRh2W